[1]
Hf6TiBi3 | PBE | optimized geometry

For the calculated formation energy, the calculation gives 0.01 eV/atom.

a b c (Å): 11.1331 11.7186 7.2984
angles (deg): 90.00 90.00 90.00
Closest atoms and distances in Å follow each position.
Space group Cmc2_1 (No. 36)
Inequivalent atoms, fractional coordinates:
Hf 0.0000 0.1284 0.0000 x4  1 Ti 2.74
Hf 0.0000 0.2099 0.4613 x4  1 Ti 2.71, 3 Bi 2.97-2.98, 2 Hf 2.99
Hf 0.1395 0.4337 0.4436 x8  1 Ti 2.83, 4 Bi 2.97-3.04, 3 Hf 3.05-3.15
Hf 0.2360 0.2066 0.2660 x8  3 Hf 2.99-3.19, 3 Bi 3.07-3.26, 1 Ti 3.17
Ti 0.0000 0.3413 0.1551 x4  4 Hf 2.71-2.83, 1 Bi 2.76
Bi 0.0000 0.3680 0.7799 x4  1 Ti 2.76, 7 Hf 2.97-3.07
Bi 0.1714 0.0560 0.6538 x8  7 Hf 2.97-3.28

[2]
CaLa2I | PBE | optimized geometry

Its uncorrected formation energy is -0.2269 eV/atom. The value obtained for the energy above the most stable polymorph in this dataset is 51.3 meV per atom.

a b c (Å): 9.5287 9.5287 6.6726
angles (deg): 90.00 90.00 90.00
Closest atoms and distances in Å follow each position.
Space group I-42d (No. 122)
Inequivalent atoms, fractional coordinates:
Ca 0.0000 0.0000 0.0000 x4  2 I 3.34
La 0.2067 0.2500 0.6250 x8  2 I 3.20, 2 La 3.44
I 0.0000 0.0000 0.5000 x4  4 La 3.20, 2 Ca 3.34

[3]
MgNiBi3 | PBE | optimized geometry

The value obtained for the energy above the most stable polymorph in this dataset is 0.0 meV per atom. For the calculated formation energy, the calculation gives 0.25 eV/atom.

a b c (Å): 5.2189 5.2189 5.2189
angles (deg): 90.00 90.00 90.00
Closest atoms and distances in Å follow each position.
Space group Pm-3m (No. 221)
Inequivalent atoms, fractional coordinates:
Mg 0.0000 0.0000 0.0000 x1  12 Bi 3.69
Ni 0.5000 0.5000 0.5000 x1  6 Bi 2.61
Bi 0.0000 0.5000 0.5000 x3  2 Ni 2.61

[4]
K2Ga2Hg | PBE | optimized geometry

The value obtained for the energy above the most stable polymorph in this dataset is 142.7 meV per atom. For the calculated formation energy, the calculation gives 0.09 eV/atom.

a b c (Å): 10.3645 10.3645 3.2037
angles (deg): 90.00 90.00 90.00
Closest atoms and distances in Å follow each position.
Space group P4/mbm (No. 127)
Inequivalent atoms, fractional coordinates:
K 0.2037 0.2963 0.0000 x4  2 K 3.20, 2 Ga 3.47
Ga 0.0860 0.5860 0.5000 x4  1 Ga 2.52
Hg 0.0000 0.0000 0.0000 x2  2 Hg 3.20

Computed electronic total energy, in the same sequence as the records: -7.916, -3.579, -3.551, -1.617 eV/atom.
Computed theoretical density, in the same sequence as the records: 12.2, 4.9, 8.3, 4.0 Mg/m³.